Entry 1:
DFT (PBE) results for a geometry-optimized Al4Hg3 structure.

Properties
Volume in Å³ per atom: 22.3
N(E_F) in states/eV/cell: 3.48
Energy in eV per atom: -1.89
SG: No. 191

Cell and atoms, written as extended XYZ:
```
7
Lattice="2.9022 4.6791 2.4993 -5.9803 -0.5669 0.6911 0.7230 -2.6356 4.0947" Properties=species:S:1:pos:R:3 pbc="T T T"
Hg -1.5390 2.0561 1.5952
Hg 1.4511 2.3395 1.2496
Hg -2.9901 -0.2835 0.3455
Al 0.1805 -0.6581 1.0224
Al 0.3029 1.6126 3.9439
Al -2.6579 -0.1361 3.3411
Al 0.5425 -1.9775 3.0723
```

***

Entry 2:
DFT (PBE) results for a geometry-optimized SrAgRu2 structure.

Properties
Volume in Å³ per atom: 19.1
N(E_F) in states/eV/cell: 5.36
Polymorph energy (0 for the lowest one) in eV per formula unit: 2.78
SG: No. 225

Cell and atoms, written as extended XYZ:
```
4
Lattice="1.3119 -1.9785 4.1322 1.9024 2.6988 3.4362 -2.4798 0.9035 3.9679" Properties=species:S:1:pos:R:3 pbc="T T T"
Ru 0.5509 1.2179 8.6522
Ru 0.1836 0.4060 2.8841
Ag 0.3672 0.8119 5.7681
Sr 0.0000 0.0000 0.0000
```

***

Entry 3:
DFT (PBE) results for a geometry-optimized Tb2CuBr2 structure.

Properties
Volume in Å³ per atom: 30.1
N(E_F) in states/eV/cell: 3.67
Energy in eV per atom: -4.39
SG: No. 166

Cell and atoms, written as extended XYZ:
```
5
Lattice="3.8425 0.0000 0.8954 1.8169 3.3858 0.8954 -0.6223 -0.3723 11.3630" Properties=species:S:1:pos:R:3 pbc="T T T"
Br 3.9618 2.3702 9.0761
Br 1.0754 0.6433 4.0777
Cu 0.0000 0.0000 0.0000
Tb 1.6493 0.9867 10.3074
Tb 3.3879 2.0268 2.8464
```

***

Entry 4:
DFT (PBE) results for a geometry-optimized K2Ta structure.

Properties
Volume in Å³ per atom: 42.7
N(E_F) in states/eV/cell: 7.16
Polymorph energy (0 for the lowest one) in eV per formula unit: 3.57
SG: No. 194

Cell and atoms, written as extended XYZ:
```
6
Lattice="3.1182 -5.4009 0.0000 3.1182 5.4009 0.0000 0.0000 0.0000 7.6076" Properties=species:S:1:pos:R:3 pbc="T T T"
Ta 3.1182 1.8003 5.7057
Ta 3.1182 -1.8003 1.9019
K 3.1182 -1.8003 5.7057
K 3.1182 1.8003 1.9019
K 0.0000 0.0000 3.8038
K 0.0000 0.0000 0.0000
```

***

Entry 5:
DFT (PBE) results for a geometry-optimized Li2CuH4Pt structure.

Properties
Volume in Å³ per atom: 8.9
N(E_F) in states/eV/cell: 1.47
Energy in eV per atom: -3.67
SG: No. 82

Cell and atoms, written as extended XYZ:
```
8
Lattice="-4.1942 -0.7004 1.6615 3.3514 -1.9978 2.3705 1.4310 4.3311 0.1906" Properties=species:S:1:pos:R:3 pbc="T T T"
H -0.8848 0.7920 1.5454
H -1.3258 -1.1683 2.9253
H 1.9049 1.0515 2.9084
H 1.4822 2.5905 1.0660
Cu -0.1860 2.3987 1.5663
Pt 2.3912 1.1666 1.2806
Li 0.0000 0.0000 0.0000
Li 0.7742 -0.7658 2.6563
```

***

Entry 6:
DFT (PBE) results for a geometry-optimized K2Ho2SbSe6 structure.

Properties
Volume in Å³ per atom: 31.7
N(E_F) in states/eV/cell: 4.18
Energy in eV per atom: -4.61
SG: No. 12

Cell and atoms, written as extended XYZ:
```
11
Lattice="7.1369 -0.0252 0.0706 -3.5494 6.1918 0.0706 -1.2708 -2.1843 7.8611" Properties=species:S:1:pos:R:3 pbc="T T T"
Se -1.8114 0.9144 5.5309
Se 4.1282 3.0679 2.4715
Se 0.5514 0.9478 2.4081
Se 1.7653 3.0344 5.5943
Se 0.6266 5.1050 2.4715
Se 1.6902 -1.1228 5.5309
K -1.7648 5.1536 0.0706
K 5.3523 1.0130 0.0706
Ho 2.9485 0.9497 4.0012
Ho -0.6317 3.0326 4.0012
Sb -0.6354 -1.0922 3.9306
```

***

Entry 7:
DFT (PBE) results for a geometry-optimized Ca2SiW structure.

Properties
Volume in Å³ per atom: 25.4
N(E_F) in states/eV/cell: 4.27
Energy in eV per atom: -5.26
SG: No. 38

Cell and atoms, written as extended XYZ:
```
4
Lattice="4.2069 0.0000 0.0000 0.0000 4.2422 -0.0012 0.0000 2.1230 5.6814" Properties=species:S:1:pos:R:3 pbc="T T T"
Si 0.0000 3.9780 2.9332
Ca 2.1035 1.8572 1.8941
Ca 0.0000 6.0996 5.2155
W 2.1035 3.9783 4.1578
```

***

Entry 8:
DFT (PBE) results for a geometry-optimized NaV3I structure.

Properties
Volume in Å³ per atom: 24.5
N(E_F) in states/eV/cell: 9.49
Polymorph energy (0 for the lowest one) in eV per formula unit: 0.00
SG: No. 221

Cell and atoms, written as extended XYZ:
```
5
Lattice="-1.9996 -3.1307 3.2962 4.3077 -2.4556 0.2808 1.4528 2.9721 3.7042" Properties=species:S:1:pos:R:3 pbc="T T T"
I 0.0000 0.0000 0.0000
V -0.9998 -1.5654 1.6481
V 2.1538 -1.2278 0.1404
V 0.7264 1.4860 1.8521
Na 1.8804 -1.3072 3.6406
```

***

Entry 9:
DFT (PBE) results for a geometry-optimized Ac6Ir3Pt structure.

Properties
Volume in Å³ per atom: 33.1
N(E_F) in states/eV/cell: 11.86
Energy in eV per atom: -6.44
SG: No. 11

Cell and atoms, written as extended XYZ:
```
20
Lattice="-0.2132 -4.3308 -0.3974 3.3524 -1.3172 12.5576 -12.4063 0.7408 -1.4187" Properties=species:S:1:pos:R:3 pbc="T T T"
Ac -9.6837 -1.1808 6.1365
Ac -0.9344 -4.0221 8.5529
Ac -8.3327 -0.8851 2.1886
Ac 0.4166 -3.7264 4.6051
Ac -6.9106 -3.7014 8.2639
Ac -3.8646 -1.8589 10.4055
Ac -6.1086 -3.3781 4.3097
Ac -5.4025 -3.0483 0.3361
Ac -2.3566 -1.2058 2.4777
Ac -11.0469 -0.4974 -0.5813
Ac 1.7798 -4.4098 11.3229
Ac -3.1585 -1.5291 6.4319
Ir -9.0289 -3.2080 4.0227
Ir -0.2382 -1.6992 6.7189
Ir -5.3488 -1.0742 2.6493
Ir -8.6463 -1.5056 9.1197
Ir -0.6208 -3.4016 1.6219
Ir -3.9183 -3.8329 8.0923
Pt -0.7305 -2.0834 11.1706
Pt -8.5366 -2.8238 -0.4290
```

***

Entry 10:
DFT (PBE) results for a geometry-optimized AcCo5As3 structure.

Properties
Volume in Å³ per atom: 15.1
N(E_F) in states/eV/cell: 16.67
Energy in eV per atom: -6.42
SG: No. 63

Cell and atoms, written as extended XYZ:
```
18
Lattice="-2.2042 -2.8719 -1.1414 5.8963 -2.1770 0.4032 -1.9063 -3.0568 11.3729" Properties=species:S:1:pos:R:3 pbc="T T T"
As -0.4310 -3.0452 8.4948
As 2.6200 -4.3933 5.9948
As -0.0272 -2.4182 -0.1750
As -0.8342 -3.7124 4.6398
As 2.2168 -5.0605 2.1399
As 1.8130 -5.6875 10.8097
Co 0.7693 -3.1301 6.3904
Co 4.0255 -3.6717 1.4648
Co 0.0000 0.0000 0.0000
Co 1.0165 -4.9756 4.2442
Co -2.2397 -4.4340 9.1699
Co 1.7120 -3.8604 0.0952
Co 3.6137 -4.3320 3.9214
Co 0.0738 -4.2453 10.5395
Co -1.8279 -3.7737 6.7133
Co -0.9531 -1.5284 5.6864
Ac 0.6475 -6.1246 7.8479
Ac 1.1383 -1.9812 2.7868
```

***

Entry 11:
DFT (PBE) results for a geometry-optimized MoSe2I structure.

Properties
Volume in Å³ per atom: 32.0
N(E_F) in states/eV/cell: 4.21
Polymorph energy (0 for the lowest one) in eV per formula unit: 1.90
SG: No. 122

Cell and atoms, written as extended XYZ:
```
8
Lattice="7.1013 0.0000 0.0000 0.0000 7.1013 0.0000 3.5506 3.5506 5.0723" Properties=species:S:1:pos:R:3 pbc="T T T"
Mo 3.5506 7.1013 2.5362
Mo 3.5506 3.5506 0.0000
I 0.0000 0.0000 0.0000
I 7.1013 3.5506 2.5362
Se 8.8766 8.0536 3.8043
Se 5.3260 6.1489 3.8043
Se 4.5030 1.7753 1.2681
Se 2.5983 5.3260 1.2681
```

***

Entry 12:
DFT (PBE) results for a geometry-optimized La6Co13Sn structure.

Properties
Volume in Å³ per atom: 19.0
N(E_F) in states/eV/cell: 41.79
Energy in eV per atom: -6.46
SG: No. 140

Cell and atoms, written as extended XYZ:
```
40
Lattice="8.0714 0.0000 0.0000 0.0000 8.0714 0.0000 -4.0357 -4.0357 11.6456" Properties=species:S:1:pos:R:3 pbc="T T T"
Co 7.5459 6.3433 0.0000
Co 2.6083 1.4274 1.2913
Co 3.1196 7.1553 2.0379
Co 1.7281 7.5459 0.0000
Co -0.9161 3.1196 9.6077
Co -3.1196 -0.9161 9.6077
Co 7.1553 4.9518 2.0379
Co 2.6083 -1.4274 10.3543
Co 1.4274 5.4632 1.2913
Co 0.5255 1.7281 0.0000
Co 6.6440 2.6083 1.2913
Co 5.4632 6.6440 1.2913
Co 0.0000 4.0357 0.0000
Co 2.3076 3.5102 0.0000
Co 4.5612 2.3076 0.0000
Co -1.4274 -2.6083 10.3543
Co 0.9161 3.1196 2.0379
Co -2.6083 1.4274 10.3543
Co 1.4274 2.6083 10.3543
Co 3.5102 5.7639 0.0000
Co 4.0357 0.0000 0.0000
Co 5.7639 4.5612 0.0000
Co 4.9518 0.9161 2.0379
Co 3.1196 0.9161 9.6077
Co 0.9161 -3.1196 9.6077
Co 6.3433 0.5255 0.0000
Sn 0.0000 0.0000 5.8228
Sn 4.0357 4.0357 5.8228
La 4.0357 4.0357 2.3202
La 0.0000 0.0000 9.3254
La 4.0357 4.0357 9.3254
La 5.3526 1.3169 7.4789
La 0.0000 0.0000 2.3202
La -1.3169 5.3526 7.4789
La 2.7188 -1.3169 7.4789
La 2.7188 1.3169 4.1667
La -1.3169 2.7188 4.1667
La 1.3169 2.7188 7.4789
La 5.3526 -1.3169 4.1667
La 1.3169 5.3526 4.1667
```

***

Entry 13:
DFT (PBE) results for a geometry-optimized LaSnRhN2 structure.

Properties
Volume in Å³ per atom: 20.8
N(E_F) in states/eV/cell: 3.43
Energy in eV per atom: -5.59
SG: No. 123

Cell and atoms, written as extended XYZ:
```
5
Lattice="4.1031 0.0000 0.0000 0.0000 6.1704 0.0000 0.0000 0.0000 4.1031" Properties=species:S:1:pos:R:3 pbc="T T T"
N 2.0515 0.0000 0.0000
N 0.0000 0.0000 2.0515
Sn 2.0515 3.0852 2.0515
La 0.0000 0.0000 0.0000
Rh 0.0000 3.0852 0.0000
```

***

Entry 14:
DFT (PBE) results for a geometry-optimized Ca4ScIn5 structure.

Properties
Volume in Å³ per atom: 27.3
N(E_F) in states/eV/cell: 5.73
Energy in eV per atom: -3.25
SG: No. 123

Cell and atoms, written as extended XYZ:
```
10
Lattice="3.7841 0.0000 0.0000 0.0000 3.7841 0.0000 0.0000 0.0000 19.0434" Properties=species:S:1:pos:R:3 pbc="T T T"
In 1.8921 1.8921 17.3963
In 1.8921 1.8921 5.6073
In 1.8921 1.8921 9.5217
In 1.8921 1.8921 1.6471
In 1.8921 1.8921 13.4361
Ca 0.0000 0.0000 11.4882
Ca 0.0000 0.0000 3.6587
Ca 0.0000 0.0000 15.3847
Ca 0.0000 0.0000 7.5553
Sc 0.0000 0.0000 0.0000
```

***

Entry 15:
DFT (PBE) results for a geometry-optimized Ag2HgIr structure.

Properties
Volume in Å³ per atom: 17.7
N(E_F) in states/eV/cell: 3.68
Energy in eV per atom: -3.34
SG: No. 8

Cell and atoms, written as extended XYZ:
```
4
Lattice="5.0528 -0.0096 0.0471 4.1858 2.8302 0.0471 0.8979 0.2741 4.9472" Properties=species:S:1:pos:R:3 pbc="T T T"
Hg 5.0346 1.5371 2.6108
Ag 0.0556 0.0170 0.0325
Ag 2.5414 0.7759 1.1881
Ir 7.5732 2.3122 3.7308
```

***

Entry 16:
DFT (PBE) results for a geometry-optimized SrAl3ZnPd structure.

Properties
Volume in Å³ per atom: 20.7
N(E_F) in states/eV/cell: 2.46
Energy in eV per atom: -3.54
SG: No. 63

Cell and atoms, written as extended XYZ:
```
12
Lattice="5.8672 0.0000 0.0000 0.0000 6.0814 0.0000 0.0000 -3.0407 6.9556" Properties=species:S:1:pos:R:3 pbc="T T T"
Pd 1.4668 3.0407 5.7815
Pd 4.4004 0.0000 1.1741
Sr 1.4668 3.0407 2.8972
Sr 4.4004 0.0000 4.0584
Al 0.0000 1.7255 0.0000
Al 2.9336 1.7255 0.0000
Al 2.9336 4.3559 0.0000
Al 4.4004 3.0407 5.2755
Al 0.0000 4.3559 0.0000
Al 1.4668 0.0000 1.6801
Zn 4.4004 3.0407 1.9096
Zn 1.4668 0.0000 5.0460
```

***

Entry 17:
DFT (PBE) results for a geometry-optimized ZrTa3Bi structure.

Properties
Volume in Å³ per atom: 24.9
N(E_F) in states/eV/cell: 4.72
Polymorph energy (0 for the lowest one) in eV per formula unit: 0.00
SG: No. 221

Cell and atoms, written as extended XYZ:
```
5
Lattice="4.9923 0.0000 0.0000 0.0000 4.9923 0.0000 0.0000 0.0000 4.9923" Properties=species:S:1:pos:R:3 pbc="T T T"
Zr 0.0000 0.0000 0.0000
Ta 0.0000 0.0000 2.4961
Ta 2.4961 0.0000 0.0000
Ta 0.0000 2.4961 0.0000
Bi 2.4961 2.4961 2.4961
```

***

Entry 18:
DFT (PBE) results for a geometry-optimized HfInAu2 structure.

Properties
Volume in Å³ per atom: 22.2
N(E_F) in states/eV/cell: 8.25
Energy in eV per atom: -4.88
SG: No. 122

Cell and atoms, written as extended XYZ:
```
8
Lattice="7.5660 0.0000 0.0000 0.0000 7.5660 0.0000 3.7830 3.7830 3.0979" Properties=species:S:1:pos:R:3 pbc="T T T"
Au 1.8336 5.6745 0.7745
Au 9.4576 9.5155 2.3234
Au 5.6745 5.6166 2.3234
Au 5.7324 1.8915 0.7745
Hf 7.5660 3.7830 1.5489
Hf 0.0000 0.0000 0.0000
In 3.7830 7.5660 1.5489
In 3.7830 3.7830 0.0000
```

***

Entry 19:
DFT (PBE) results for a geometry-optimized Fe2AsHBr structure.

Properties
Volume in Å³ per atom: 16.5
N(E_F) in states/eV/cell: 5.63
Energy in eV per atom: -4.77
SG: No. 123

Cell and atoms, written as extended XYZ:
```
5
Lattice="4.8289 0.0000 0.0000 0.0000 3.5453 0.0000 0.0000 0.0000 4.8289" Properties=species:S:1:pos:R:3 pbc="T T T"
Fe 0.0000 0.0000 2.4145
Fe 2.4145 0.0000 0.0000
As 0.0000 0.0000 0.0000
Br 2.4145 1.7726 2.4145
H 0.0000 1.7726 0.0000
```

***

Entry 20:
DFT (PBE) results for a geometry-optimized LaURu4 structure.

Properties
Volume in Å³ per atom: 18.1
N(E_F) in states/eV/cell: 11.14
Energy in eV per atom: -8.97
SG: No. 216

Cell and atoms, written as extended XYZ:
```
6
Lattice="5.3588 0.0000 0.0000 2.6794 4.6408 0.0000 2.6794 1.5469 4.3754" Properties=species:S:1:pos:R:3 pbc="T T T"
La 0.0000 0.0000 0.0000
Ru 4.0235 3.8648 2.7328
Ru 5.3588 3.0939 0.5524
Ru 6.6940 3.8648 2.7328
Ru 5.3588 1.5521 2.7328
U 2.6794 1.5469 1.0939
```